(1)
Density functional theory data (PBE) for a relaxed structure of YZnRe2Pt.

```
YZnRe2Pt
1.0
4.957 0.000 0.000
0.000 4.957 0.000
0.000 0.000 5.009
Y Zn Re Pt
1 1 2 1
direct
0.000 0.000 0.000 Y
0.500 0.500 0.500 Zn
0.000 0.500 0.000 Re
0.500 0.000 0.000 Re
0.000 0.000 0.500 Pt
```

## Properties
DFT total energy = -0.3843 Ry/atom
formation energy = 12.53 eV/f.u.
symmetry = No. 123

---

(2)
Density functional theory data (PBE) for a relaxed structure of B3Rh6Pb.

```
B3Rh6Pb
1.0
2.787 1.609 5.047
-2.787 1.609 5.047
0.000 -3.218 5.047
B Rh Pb
3 6 1
direct
0.000 0.000 0.000 B
0.196 0.196 0.196 B
0.534 0.534 0.534 B
0.234 0.767 0.301 Rh
0.259 0.601 0.935 Rh
0.301 0.234 0.767 Rh
0.601 0.935 0.259 Rh
0.767 0.301 0.234 Rh
0.935 0.259 0.601 Rh
0.743 0.743 0.743 Pb
```

## Properties
DFT total energy = -0.5098 Ry/atom
formation energy = -1.51 eV/f.u.
symmetry = No. 146

---

(3)
Density functional theory data (PBE) for a relaxed structure of Tb3Mg.

```
Tb3Mg
1.0
-2.480 2.480 4.810
2.480 -2.480 4.810
2.480 2.480 -4.810
Tb Mg
3 1
direct
0.000 0.000 0.000 Tb
0.250 0.750 0.500 Tb
0.750 0.250 0.500 Tb
0.500 0.500 0.000 Mg
```

## Properties
DFT total energy = -0.2829 Ry/atom
formation energy = 0.09 eV/f.u.
symmetry = No. 139

---

(4)
Density functional theory data (PBE) for a relaxed structure of Er6Tl5Ir.

```
Er6Tl5Ir
1.0
-2.628 3.753 7.812
2.628 -3.753 7.812
2.628 3.753 -7.812
Er Tl Ir
6 5 1
direct
0.077 0.348 0.729 Er
0.222 0.000 0.222 Er
0.380 0.652 0.729 Er
0.620 0.348 0.271 Er
0.778 0.000 0.778 Er
0.923 0.652 0.271 Er
0.184 0.184 0.000 Tl
0.336 0.836 0.500 Tl
0.500 0.500 0.000 Tl
0.664 0.164 0.500 Tl
0.816 0.816 0.000 Tl
0.000 0.500 0.500 Ir
```

## Properties
DFT total energy = -0.3244 Ry/atom
formation energy = -4.89 eV/f.u.
symmetry = No. 71

---

(5)
Density functional theory data (PBE) for a relaxed structure of Sm16Er6Tm7.

```
Sm16Er6Tm7
1.0
0.000 7.899 7.899
7.899 0.000 7.899
7.899 7.899 0.000
Sm Er Tm
16 6 7
direct
0.053 0.649 0.649 Sm
0.124 0.124 0.124 Sm
0.124 0.124 0.627 Sm
0.124 0.627 0.124 Sm
0.351 0.351 0.351 Sm
0.351 0.351 0.947 Sm
0.351 0.947 0.351 Sm
0.373 0.876 0.876 Sm
0.627 0.124 0.124 Sm
0.649 0.053 0.649 Sm
0.649 0.649 0.053 Sm
0.649 0.649 0.649 Sm
0.876 0.373 0.876 Sm
0.876 0.876 0.373 Sm
0.876 0.876 0.876 Sm
0.947 0.351 0.351 Sm
0.267 0.267 0.733 Er
0.267 0.733 0.267 Er
0.267 0.733 0.733 Er
0.733 0.267 0.267 Er
0.733 0.267 0.733 Er
0.733 0.733 0.267 Er
0.000 0.000 0.000 Tm
0.000 0.000 0.500 Tm
0.000 0.500 0.000 Tm
0.000 0.500 0.500 Tm
0.500 0.000 0.000 Tm
0.500 0.000 0.500 Tm
0.500 0.500 0.000 Tm
```

## Properties
DFT total energy = -0.3244 Ry/atom
formation energy = 6.18 eV/f.u.
symmetry = No. 225

---

(6)
Density functional theory data (PBE) for a relaxed structure of CaCuSb.

```
CaCuSb
1.0
4.479 0.000 0.000
0.000 4.479 0.000
0.000 0.000 6.955
Ca Cu Sb
2 2 2
direct
0.250 0.250 0.195 Ca
0.750 0.750 0.805 Ca
0.250 0.750 0.500 Cu
0.750 0.250 0.500 Cu
0.250 0.250 0.727 Sb
0.750 0.750 0.273 Sb
```

## Properties
energy relative to the elements, uncorrected = -636 meV per atom
DFT total energy = -0.2971 Ry/atom
symmetry = No. 129